Crystalline SmYAu2 at its relaxed geometry, computed with PBE-GGA.

Cell lengths 4.688, 5.832, 5.832 Å; angles 37.46, 90.00, 90.00 degrees
Fractional coordinates of all 4 atoms:
Au: 0.500 0.089 0.089
Au: 0.000 0.911 0.911
Sm: 0.500 0.360 0.360
Y: 0.000 0.639 0.639

Results
For the final energy, the calculation gives -5.284 eV per atom.

Crystalline Sm2Zn15Au2 at its relaxed geometry, computed with PBE-GGA.

Cell lengths 6.847, 6.847, 6.847 Å; angles 82.69, 82.69, 82.69 degrees
Fractional coordinates of all 19 atoms:
Au: 0.110 0.110 0.110
Au: 0.890 0.890 0.890
Sm: 0.340 0.340 0.340
Sm: 0.660 0.660 0.660
Zn: 0.500 0.000 0.000
Zn: 0.706 0.294 0.000
Zn: 0.000 0.500 0.000
Zn: 0.294 0.706 0.000
Zn: 0.648 0.648 0.163
Zn: 0.706 0.000 0.294
Zn: 0.000 0.706 0.294
Zn: 0.837 0.352 0.352
Zn: 0.352 0.837 0.352
Zn: 0.000 0.000 0.500
Zn: 0.648 0.163 0.648
Zn: 0.163 0.648 0.648
Zn: 0.294 0.000 0.706
Zn: 0.000 0.294 0.706
Zn: 0.352 0.352 0.837

Results
For the final energy, the calculation gives -2.137 eV per atom.

Crystalline SmZrAu at its relaxed geometry, computed with PBE-GGA.

Cell lengths 4.756, 4.756, 4.756 Å; angles 60.00, 60.00, 60.00 degrees
Fractional coordinates of all 3 atoms:
Au: 0.250 0.250 0.250
Sm: 0.750 0.750 0.750
Zr: 0.000 0.000 0.000

Results
For the final energy, the calculation gives -5.226 eV per atom. Its distance to the lowest polymorph of the same formula is 0.0000 eV per atom.